# 1
Y4BiAs2Se | PBE | optimized geometry

Cell: 7.2688 4.1945 7.3284 Å, 90.00 109.21 90.00°
Closest atoms and distances in Å follow each position.
Fractional positions:
Y: 0.2379 0.0000 0.2302  3 As 2.88-2.93, 1 Se 3.02, 2 Bi 3.08
Y: 0.2508 0.5000 0.7665  3 As 2.88-2.93, 2 Se 3.03, 1 Bi 3.07
Y: 0.7492 0.5000 0.2335  3 As 2.88-2.93, 2 Se 3.03, 1 Bi 3.07
Y: 0.7621 0.0000 0.7698  3 As 2.88-2.93, 1 Se 3.02, 2 Bi 3.08
Bi: 0.5000 0.5000 0.5000  6 Y 3.07-3.08
As: 0.0000 0.5000 0.0000  6 Y 2.88
As: 0.5000 0.0000 0.0000  6 Y 2.93
Se: 0.0000 0.0000 0.5000  6 Y 3.02-3.03

Summary:
Its density is 6.2 Mg/m³. Its space group is P2/m. The total energy comes out at -6.78 eV per atom.



# 2
KBS4Cl4O12 | PBE | optimized geometry

Cell: 11.1941 11.1941 10.9195 Å, 96.76 96.76 136.34°
Closest atoms and distances in Å follow each position.
Fractional positions:
K: 0.0793 0.9207 0.5000  6 O 2.74-2.85
K: 0.9207 0.0793 0.0000  6 O 2.74-2.85
B: 0.4453 0.6897 0.4074  4 O 1.47-1.49
B: 0.6897 0.4453 0.9074  4 O 1.47-1.49
S: 0.1739 0.6293 0.4547  3 O 1.44-1.56
S: 0.3054 0.3571 0.3501  3 O 1.43-1.55
S: 0.3571 0.3054 0.8501  3 O 1.43-1.55
S: 0.5430 0.8366 0.2088  3 O 1.43-1.56
S: 0.6293 0.1739 0.9547  3 O 1.44-1.56
S: 0.7571 0.9423 0.6077  3 O 1.44-1.56
S: 0.8366 0.5430 0.7088  3 O 1.43-1.56
S: 0.9423 0.7571 0.1077  3 O 1.44-1.56
Cl: 0.2030 0.9108 0.1189  1 S 2.02
Cl: 0.2975 0.6422 0.0693  1 S 2.05
Cl: 0.4121 0.9206 0.8315  1 S 2.03
Cl: 0.4186 0.5060 0.7914  1 S 2.03
Cl: 0.5060 0.4186 0.2914  1 S 2.03
Cl: 0.6422 0.2975 0.5693  1 S 2.05
Cl: 0.9108 0.2030 0.6189  1 S 2.02
Cl: 0.9206 0.4121 0.3315  1 S 2.03
O: 0.1761 0.2994 0.2375  1 S 1.44
O: 0.1880 0.5802 0.5666  1 S 1.44
O: 0.2078 0.7819 0.4692  1 S 1.44
O: 0.2390 0.2494 0.9279  1 S 1.43
O: 0.2494 0.2390 0.4279  1 S 1.43
O: 0.2831 0.6445 0.3681  1 B 1.47, 1 S 1.56
O: 0.2994 0.1761 0.7375  1 S 1.44
O: 0.4074 0.5421 0.4416  1 B 1.49, 1 S 1.55
O: 0.5218 0.7261 0.2974  1 B 1.48, 1 S 1.56
O: 0.5421 0.4074 0.9416  1 B 1.49, 1 S 1.55
O: 0.5601 0.9691 0.2738  1 S 1.43
O: 0.5698 0.8463 0.5261  1 B 1.48, 1 S 1.56
O: 0.5802 0.1880 0.0666  1 S 1.44
O: 0.6445 0.2831 0.8681  1 B 1.47, 1 S 1.56
O: 0.6735 0.8868 0.1461  1 S 1.43
O: 0.7261 0.5218 0.7974  1 B 1.48, 1 S 1.56
O: 0.7500 0.9266 0.7359  1 S 1.44
O: 0.7819 0.2078 0.9692  1 S 1.44
O: 0.8239 0.8938 0.5377  1 S 1.44
O: 0.8463 0.5698 0.0261  1 B 1.48, 1 S 1.56
O: 0.8868 0.6735 0.6461  1 S 1.43
O: 0.8938 0.8239 0.0377  1 S 1.44
O: 0.9266 0.7500 0.2359  1 S 1.44
O: 0.9691 0.5601 0.7738  1 S 1.43

Summary:
Its density is 1.9 Mg/m³. Its space group is Cc. The total energy comes out at -5.39 eV per atom.



# 3
ZrTlP2 | PBE | optimized geometry

Cell: 3.8209 3.8209 5.8007 Å, 90.00 90.00 90.00°
Closest atoms and distances in Å follow each position.
Fractional positions:
Zr: 0.0000 0.0000 0.0000  6 P 2.70-2.90
Tl: 0.5000 0.5000 0.4994  6 P 2.70-2.90
P: 0.0000 0.0000 0.5003  4 Tl 2.70, 2 Zr 2.90
P: 0.5000 0.5000 0.9998  4 Zr 2.70, 2 Tl 2.90

Summary:
Its density is 7.0 Mg/m³. As for the energy relative to the lowest polymorph listed for this composition: 0.172 eV/atom. Its space group is P4mm. The total energy comes out at -5.77 eV per atom. The formation energy comes out at -0.340 eV/atom.



# 4
SrCdPb4 | PBE | optimized geometry

Cell: 6.5663 6.5663 6.5663 Å, 60.00 60.00 60.00°
Closest atoms and distances in Å follow each position.
Fractional positions:
Sr: 0.0000 0.0000 0.0000  12 Pb 3.85, 4 Cd 4.02
Cd: 0.7500 0.7500 0.7500  12 Pb 3.85, 4 Sr 4.02
Pb: 0.3743 0.3743 0.3743  6 Pb 3.26-3.30
Pb: 0.3743 0.3743 0.8772  6 Pb 3.26-3.30
Pb: 0.3743 0.8772 0.3743  6 Pb 3.26-3.30
Pb: 0.8772 0.3743 0.3743  6 Pb 3.26-3.30

Summary:
Its density is 8.5 Mg/m³. As for the energy relative to the lowest polymorph listed for this composition: 0.004 eV/atom. Its space group is F-43m. The total energy comes out at -3.02 eV per atom. The formation energy comes out at -0.120 eV/atom.



# 5
Nd4TmTh3Se8 | PBE | optimized geometry

Cell: 8.4141 8.4141 8.4141 Å, 59.64 59.64 59.64°
Closest atoms and distances in Å follow each position.
Fractional positions:
Nd: 0.0000 0.0000 0.0000  6 Se 3.05
Nd: 0.0000 0.5000 0.5000  6 Se 2.96-2.97
Nd: 0.5000 0.0000 0.5000  6 Se 2.96-2.97
Nd: 0.5000 0.5000 0.0000  6 Se 2.96-2.97
Tm: 0.5000 0.5000 0.5000  6 Se 2.89
Th: 0.0000 0.0000 0.5000  6 Se 2.97
Th: 0.0000 0.5000 0.0000  6 Se 2.97
Th: 0.5000 0.0000 0.0000  6 Se 2.97
Se: 0.2505 0.2505 0.2505  3 Nd 2.96, 3 Th 2.97
Se: 0.2568 0.2568 0.7430  1 Tm 2.89, 3 Nd 2.97-3.05, 2 Th 2.97
Se: 0.2568 0.7430 0.2568  1 Tm 2.89, 3 Nd 2.97-3.05, 2 Th 2.97
Se: 0.2570 0.7432 0.7432  1 Tm 2.89, 3 Nd 2.97-3.05, 2 Th 2.97
Se: 0.7430 0.2568 0.2568  1 Tm 2.89, 3 Nd 2.97-3.05, 2 Th 2.97
Se: 0.7432 0.2570 0.7432  1 Tm 2.89, 3 Nd 2.97-3.05, 2 Th 2.97
Se: 0.7432 0.7432 0.2570  1 Tm 2.89, 3 Nd 2.97-3.05, 2 Th 2.97
Se: 0.7495 0.7495 0.7495  3 Nd 2.96, 3 Th 2.97

Summary:
Its density is 8.2 Mg/m³. Its space group is R-3m. The total energy comes out at -6.30 eV per atom.



# 6
NdZn6Rh4 | PBE | optimized geometry

Cell: 6.6015 6.6015 6.6015 Å, 120.44 120.44 89.24°
Closest atoms and distances in Å follow each position.
Fractional positions:
Nd: 0.0000 0.0000 0.0000  4 Rh 3.12, 12 Zn 3.28-3.44
Zn: 0.0000 0.5000 0.5000  4 Rh 2.54
Zn: 0.1120 0.4891 0.0000  4 Rh 2.45-2.63
Zn: 0.4891 0.1120 0.0000  4 Rh 2.45-2.63
Zn: 0.5000 0.0000 0.5000  4 Rh 2.54
Zn: 0.5109 0.5109 0.6229  4 Rh 2.45-2.63
Zn: 0.8880 0.8880 0.3771  4 Rh 2.45-2.63
Rh: 0.2489 0.2489 0.6547  6 Zn 2.45-2.63, 2 Rh 2.70
Rh: 0.4059 0.7511 0.0000  6 Zn 2.45-2.63, 2 Rh 2.70
Rh: 0.5941 0.5941 0.3453  6 Zn 2.45-2.63, 2 Rh 2.70
Rh: 0.7511 0.4059 0.0000  6 Zn 2.45-2.63, 2 Rh 2.70

Summary:
Its density is 7.8 Mg/m³. Its space group is I-42m. The total energy comes out at -4.01 eV per atom. The formation energy comes out at -0.207 eV/atom.